Computed, not measured: a relaxed structure of Sr3Zn2Cu9 at the PBE level of DFT.

abc: 4.2319 8.3068 8.3068
angles: 74.21 75.24 75.24
Closest atoms and distances in Å follow each position.
Element x y z (fractional)
Cu: 0.6953 0.6020 0.0075  5 Cu 2.50-2.69, 1 Zn 2.56
Cu: 0.0000 0.5000 0.5000  4 Cu 2.54
Cu: 0.3047 0.9925 0.3980  5 Cu 2.50-2.69, 1 Zn 2.56
Cu: 0.8938 0.8221 0.3904  5 Cu 2.50-2.67, 2 Zn 2.50
Cu: 0.8938 0.3904 0.8221  5 Cu 2.50-2.67, 2 Zn 2.50
Cu: 0.3047 0.3980 0.9925  5 Cu 2.50-2.69, 1 Zn 2.56
Sr: 0.6971 0.3029 0.3029  12 Cu 2.98-3.26
Cu: 0.1062 0.6096 0.1779  5 Cu 2.50-2.67, 2 Zn 2.50
Cu: 0.1062 0.1779 0.6096  5 Cu 2.50-2.67, 2 Zn 2.50
Zn: 0.5000 0.2766 0.7234  6 Cu 2.50-2.56
Zn: 0.5000 0.7234 0.2766  6 Cu 2.50-2.56
Cu: 0.6953 0.0075 0.6020  5 Cu 2.50-2.69, 1 Zn 2.56
Sr: 0.0000 0.0000 0.0000  4 Cu 3.14, 4 Zn 3.49
Sr: 0.3029 0.6971 0.6971  12 Cu 2.98-3.26

Summary:
calculated density	6.02	Mg/m³
ΔH_f (0 K)	-0.086	eV per atom
total energy	-45.670	eV for the cell shown